A geometry-optimized LiCaAg structure, computed with GGA-PBE.

As for the calculated formation energy: -0.187 eV/atom.

The structure belongs to space group I4mm (No. 107); the cell edges are 3.666, 3.666 and 10.388 Å and the angles 90.00°, 90.00° and 90.00°. The inequivalent atoms are Li at (0.000, 0.000, 0.000), Ca at (0.000, 0.000, 0.292) and Ag at (0.000, 0.000, 0.609).